The following is a DFT calculation (PBE) of crystalline PrMgZn at its relaxed geometry.

The structure belongs to space group P4mm (No. 99); the cell edges are 3.5184, 3.5184 and 11.8042 Å and the angles 90.00°, 90.00° and 90.00°. The asymmetric unit holds Pr at (0.0000, 0.0000, 0.0000), Pr at (0.5000, 0.5000, 0.2470), Mg at (0.0000, 0.0000, 0.7038), Mg at (0.5000, 0.5000, 0.5441), Zn at (0.0000, 0.0000, 0.4210) and Zn at (0.5000, 0.5000, 0.8262).

As for the total moment: 0.0 μB per cell. The energy of formation from the pure elements is -0.123 eV per atom. The calculation puts the electronic total energy at -8.02 eV per formula unit.



The following is a DFT calculation (PBE) of crystalline PrMg2Zn6 at its relaxed geometry.

The structure belongs to space group Immm (No. 71); the cell edges are 4.0123, 7.0744 and 12.6505 Å and the angles 90.00°, 90.00° and 90.00°. The asymmetric unit holds Pr at (0.0000, 0.0000, 0.0000), Mg at (0.0000, 0.5000, 0.1248), Zn at (0.0000, 0.1751, 0.5000) and Zn at (0.0000, 0.3037, 0.3136).

As for the total moment: 0.0 μB per cell. The energy of formation from the pure elements is -0.144 eV per atom. As for the energy above the most stable polymorph in this dataset: 0 meV per atom. The calculation puts the electronic total energy at -16.91 eV per formula unit.